<w>
{"formula": "Cr2RuF", "functional": "PBE+U", "state": "relaxed", "m_tot_mub_per_fu": 6.99, "sg": "Fm-3m, No. 225", "cell": [[1.754, -3.901, -1.055], [-1.462, -2.190, -3.532], [2.551, -0.374, -3.572]], "species": ["Ru", "F", "Cr", "Cr"], "fractional_positions": [[0.500, 0.500, 0.500], [0.000, 0.000, 0.000], [0.250, 0.250, 0.250], [0.750, 0.750, 0.750]]}

***

<x>
{"formula": "Cr2RuF", "functional": "PBE+U", "state": "relaxed", "m_tot_mub_per_fu": 6.90, "sg": "I-42d, No. 122", "cell": [[6.261, 0.000, 0.000], [0.000, 6.261, 0.000], [3.130, 3.130, 3.270]], "species": ["Ru", "Ru", "F", "F", "Cr", "Cr", "Cr", "Cr"], "fractional_positions": [[0.000, 0.000, 0.000], [0.750, 0.250, 0.500], [0.500, 0.500, 0.000], [0.250, 0.750, 0.500], [0.579, 0.125, 0.250], [0.171, 0.625, 0.250], [0.375, 0.421, 0.750], [0.875, 0.829, 0.750]]}

***

The energy of each structure relative to the most stable one, in kJ/mol of atoms, is as follows: <w> 16.8; <x> 0.0.

***

<w>
{"formula": "CrS2F", "functional": "PBE+U", "state": "relaxed", "m_tot_mub_per_fu": 0.60, "sg": "R-3m, No. 166", "cell": [[-2.925, -6.482, 4.734], [-1.084, -5.308, 6.605], [-3.756, -4.271, 6.374]], "species": ["Cr", "S", "S", "F"], "fractional_positions": [[0.000, 0.000, 0.000], [0.911, 0.911, 0.911], [0.089, 0.089, 0.089], [0.500, 0.500, 0.500]]}

***

<x>
{"formula": "CrS2F", "functional": "PBE+U", "state": "relaxed", "m_tot_mub_per_fu": 2.58, "sg": "Fm-3m, No. 225", "cell": [[0.000, 2.998, 2.998], [2.998, 0.000, 2.998], [2.998, 2.998, 0.000]], "species": ["Cr", "S", "S", "F"], "fractional_positions": [[0.500, 0.500, 0.500], [0.250, 0.250, 0.250], [0.750, 0.750, 0.750], [0.000, 0.000, 0.000]]}

***

<y>
{"formula": "CrS2F", "functional": "PBE+U", "state": "relaxed", "m_tot_mub_per_fu": 2.99, "sg": "R-3m, No. 166", "cell": [[2.064, 0.000, 6.460], [-1.032, 1.788, 6.460], [-1.032, -1.788, 6.460]], "species": ["Cr", "S", "S", "F"], "fractional_positions": [[0.500, 0.500, 0.500], [0.896, 0.896, 0.896], [0.104, 0.104, 0.104], [0.000, 0.000, 0.000]]}

***

<z>
{"formula": "CrS2F", "functional": "PBE+U", "state": "relaxed", "m_tot_mub_per_fu": 1.02, "sg": "I-42d, No. 122", "cell": [[-5.041, -1.457, 2.397], [-1.399, -2.968, -4.745], [-1.120, -6.295, 0.760]], "species": ["Cr", "Cr", "S", "S", "S", "S", "F", "F"], "fractional_positions": [[0.000, 0.000, 0.000], [0.750, 0.250, 0.500], [0.669, 0.125, 0.250], [0.081, 0.625, 0.250], [0.375, 0.331, 0.750], [0.875, 0.919, 0.750], [0.500, 0.500, 0.000], [0.250, 0.750, 0.500]]}

***

The energy of each structure relative to the most stable one, in kJ/mol of atoms, is as follows: <w> 136.1; <x> 33.2; <y> 0.0; <z> 39.0.